[1]
HgW2: optimized geometry, PBE.

Cell: 2.951 2.951 25.804 Å, 90.00 90.00 90.00°
Sites, in units of the cell vectors:
Hg 0.000 0.250 0.375
Hg 0.000 0.750 0.625
Hg 0.500 0.250 0.125
Hg 0.500 0.750 0.875
W 0.000 0.250 0.789
W 0.000 0.250 0.961
W 0.000 0.750 0.039
W 0.000 0.750 0.211
W 0.500 0.250 0.539
W 0.500 0.250 0.711
W 0.500 0.750 0.289
W 0.500 0.750 0.461

Excess energy over the best structure of this formula in the dataset   396 meV per atom


[2]
HgW3: optimized geometry, PBE.

Cell: 3.244 4.555 9.352 Å, 90.00 90.00 90.00°
Sites, in units of the cell vectors:
Hg 0.000 0.000 0.000
Hg 0.500 0.500 0.000
W 0.000 0.000 0.500
W 0.000 0.500 0.267
W 0.000 0.500 0.733
W 0.500 0.000 0.267
W 0.500 0.000 0.733
W 0.500 0.500 0.500

Excess energy over the best structure of this formula in the dataset   0 meV per atom


[3]
Hg7W: optimized geometry, PBE.

Cell: 6.267 6.267 6.267 Å, 60.00 60.00 60.00°
Sites, in units of the cell vectors:
Hg 0.000 0.000 0.000
Hg 0.000 0.000 0.500
Hg 0.000 0.500 0.000
Hg 0.000 0.500 0.500
Hg 0.500 0.000 0.000
Hg 0.500 0.000 0.500
Hg 0.500 0.500 0.000
W 0.500 0.500 0.500

Energy   -11.4 eV per formula unit


[4]
Hg4W3: optimized geometry, PBE.

Cell: 2.979 2.979 30.661 Å, 90.00 90.00 90.00°
Sites, in units of the cell vectors:
Hg 0.000 0.000 0.069
Hg 0.000 0.000 0.350
Hg 0.000 0.000 0.650
Hg 0.000 0.000 0.931
Hg 0.500 0.500 0.150
Hg 0.500 0.500 0.431
Hg 0.500 0.500 0.569
Hg 0.500 0.500 0.850
W 0.000 0.000 0.223
W 0.000 0.000 0.500
W 0.000 0.000 0.777
W 0.500 0.500 0.000
W 0.500 0.500 0.277
W 0.500 0.500 0.723

Excess energy over the best structure of this formula in the dataset   0 meV per atom


[5]
HgW3: optimized geometry, PBE.

Cell: 5.725 8.519 2.787 Å, 90.00 90.00 90.00°
Sites, in units of the cell vectors:
Hg 0.000 0.000 0.000
Hg 0.500 0.500 0.000
W 0.000 0.500 0.000
W 0.250 0.250 0.500
W 0.250 0.750 0.500
W 0.500 0.000 0.000
W 0.750 0.250 0.500
W 0.750 0.750 0.500

Excess energy over the best structure of this formula in the dataset   232 meV per atom


[6]
HgW2: optimized geometry, PBE.

Cell: 10.926 2.896 6.888 Å, 90.00 105.99 90.00°
Sites, in units of the cell vectors:
Hg 0.000 0.000 0.000
Hg 0.166 0.500 0.338
Hg 0.500 0.500 0.000
Hg 0.666 0.000 0.338
W 0.056 0.000 0.617
W 0.229 0.500 0.933
W 0.338 0.000 0.662
W 0.387 0.000 0.293
W 0.556 0.500 0.617
W 0.729 0.000 0.933
W 0.838 0.500 0.662
W 0.887 0.500 0.293

Excess energy over the best structure of this formula in the dataset   152 meV per atom


Short version: D(E_F) = 10.17; 4.44; 3.99; 13.31; 4.07; 6.29 states/eV per cell, in the order given.